1.
Entry from the Alexandria database: an optimized crystal structure of InSbPb2 (GGA-PBE).

The space group is Fm-3m (No. 225) and the conventional cell measures 7.8407, 7.8407 and 7.8407 Å, with angles of 90.00, 90.00 and 90.00 degrees. Symmetry generates all atoms from In at (0.0000, 0.0000, 0.0000), Sb at (0.0000, 0.0000, 0.5000) and Pb at (0.2500, 0.2500, 0.2500).

The energy above the most stable polymorph in this dataset is 0.041 eV per atom. The value obtained for the density of states at the Fermi level is 9.201 states/eV/cell. The raw total energy comes out at -3.501 eV/atom.

2.
Entry from the Alexandria database: an optimized crystal structure of InSb2Pb2 (GGA-PBE).

The space group is I4/mmm (No. 139) and the conventional cell measures 4.9185, 4.9185 and 14.3618 Å, with angles of 90.00, 90.00 and 90.00 degrees. Symmetry generates all atoms from In at (0.0000, 0.0000, 0.0000), Sb at (0.0000, 0.0000, 0.3956) and Pb at (0.0000, 0.5000, 0.2500).

The energy above the most stable polymorph in this dataset is 0.046 eV per atom. The value obtained for the density of states at the Fermi level is 6.973 states/eV/cell. The raw total energy comes out at -3.551 eV/atom.

3.
Entry from the Alexandria database: an optimized crystal structure of In2Sb2Pb (GGA-PBE).

The space group is P4/mbm (No. 127) and the conventional cell measures 8.6309, 8.6309 and 3.9225 Å, with angles of 90.00, 90.00 and 90.00 degrees. Symmetry generates all atoms from In at (0.1467, 0.3533, 0.0000), Sb at (0.1521, 0.6521, 0.5000) and Pb at (0.0000, 0.0000, 0.5000).

The energy above the most stable polymorph in this dataset is 0.000 eV per atom. The value obtained for the density of states at the Fermi level is 5.244 states/eV/cell. The raw total energy comes out at -3.431 eV/atom.

4.
Entry from the Alexandria database: an optimized crystal structure of InSb3Pb2 (GGA-PBE).

The space group is Pnma (No. 62) and the conventional cell measures 8.4119, 4.2404 and 20.8475 Å, with angles of 90.00, 90.00 and 90.00 degrees. Symmetry generates all atoms from In at (0.1374, 0.2500, 0.1449), Sb at (0.0605, 0.7500, 0.5659), Sb at (0.1020, 0.2500, 0.8878), Sb at (0.2260, 0.7500, 0.7764), Pb at (0.0041, 0.2500, 0.6855) and Pb at (0.2016, 0.7500, 0.0024).

The value obtained for the density of states at the Fermi level is 13.142 states/eV/cell. The raw total energy comes out at -3.682 eV/atom.

5.
Entry from the Alexandria database: an optimized crystal structure of In6SbPb10 (GGA-PBE).

The space group is P-31m (No. 162) and the conventional cell measures 9.5533, 9.5533 and 6.6130 Å, with angles of 90.00, 90.00 and 120.00 degrees. Symmetry generates all atoms from In at (0.0000, 0.3952, 0.2816), Sb at (0.0000, 0.0000, 0.5000), Pb at (0.0000, 0.2553, 0.8117), Pb at (0.3333, 0.6667, 0.0000) and Pb at (0.3333, 0.6667, 0.5000).

The value obtained for the density of states at the Fermi level is 6.768 states/eV/cell. The raw total energy comes out at -3.327 eV/atom.

6.
Entry from the Alexandria database: an optimized crystal structure of In2SbPb (GGA-PBE).

The space group is Cm (No. 8) and the conventional cell measures 10.9918, 3.3207 and 6.3999 Å, with angles of 90.00, 94.93 and 90.00 degrees. Symmetry generates all atoms from In at (0.0000, 0.0000, 0.0000), In at (0.2451, 0.0000, 0.7631), Sb at (0.2484, 0.5000, 0.2291) and Pb at (0.4950, 0.0000, 0.4948).

The energy above the most stable polymorph in this dataset is 0.016 eV per atom. The value obtained for the density of states at the Fermi level is 3.376 states/eV/cell. The raw total energy comes out at -3.276 eV/atom.

7.
Entry from the Alexandria database: an optimized crystal structure of InSbTe2Pb (GGA-PBE).

The space group is P4/mmm (No. 123) and the conventional cell measures 5.6934, 5.6934 and 5.5888 Å, with angles of 90.00, 90.00 and 90.00 degrees. Symmetry generates all atoms from In at (0.0000, 0.0000, 0.0000), Sb at (0.0000, 0.0000, 0.5000), Te at (0.0000, 0.5000, 0.0000) and Pb at (0.5000, 0.5000, 0.5000).

The energy above the most stable polymorph in this dataset is 0.000 eV per atom. The value obtained for the density of states at the Fermi level is 5.235 states/eV/cell. The raw total energy comes out at -2.999 eV/atom.

8.
Entry from the Alexandria database: an optimized crystal structure of InSbTe2Pb (GGA-PBE).

The space group is P4/mmm (No. 123) and the conventional cell measures 5.9385, 5.9385 and 5.8292 Å, with angles of 90.00, 90.00 and 90.00 degrees. Symmetry generates all atoms from In at (0.0000, 0.0000, 0.0000), Sb at (0.5000, 0.5000, 0.0000), Te at (0.0000, 0.5000, 0.5000) and Pb at (0.5000, 0.5000, 0.5000).

The energy above the most stable polymorph in this dataset is 0.122 eV per atom. The value obtained for the density of states at the Fermi level is 5.112 states/eV/cell. The raw total energy comes out at -2.877 eV/atom.